Here is In2CuPb2 after structural relaxation from Alexandria. Energies are from GGA-PBE.

Properties
The magnetic moment comes out at 0.000 Bohr magnetons per cell. The value obtained for the polymorph energy (0 for the lowest one) is 57 meV/atom. The calculation puts the formation enthalpy at 0 K at 211.0 meV/atom.

```
In2CuPb2
1.0
7.241 0.000 0.000
0.000 7.241 0.000
0.000 0.000 5.348
Pb Cu In
4 2 4
Cartesian
2.477 6.097 0.000
6.097 4.764 0.000
4.764 1.143 0.000
1.143 2.477 0.000
0.000 0.000 0.000
3.620 3.620 0.000
1.162 4.782 2.674
4.782 6.078 2.674
6.078 2.458 2.674
2.458 1.162 2.674
```

Here is In2CuPb after structural relaxation from Alexandria. Energies are from GGA-PBE.

Properties
The magnetic moment comes out at 0.000 Bohr magnetons per cell. The calculation puts the formation enthalpy at 0 K at 132.6 meV/atom.

```
In2CuPb
1.0
-4.323 -4.873 -5.975
-3.248 -7.415 -3.552
-6.298 -5.464 -2.936
Cu In Pb
1 2 1
Cartesian
-10.361 -13.261 -9.310
-0.203 -0.260 -0.182
-3.498 -4.477 -3.143
-6.742 -8.630 -6.059
```

Here is InCuPb after structural relaxation from Alexandria. Energies are from GGA-PBE.

Properties
The magnetic moment comes out at 0.000 Bohr magnetons per cell. The calculation puts the formation enthalpy at 0 K at 88.4 meV/atom.

```
InCuPb
1.0
4.622 -0.003 -0.002
0.004 8.157 0.031
-2.309 1.292 3.819
Pb Cu In
2 2 2
Cartesian
-0.821 5.806 1.511
1.490 4.294 3.455
1.491 7.180 2.459
-0.822 2.919 2.509
1.488 1.596 1.538
-0.819 8.504 3.428
```

Here is In2CuPb after structural relaxation from Alexandria. Energies are from GGA-PBE.

Properties
The magnetic moment comes out at 0.000 Bohr magnetons per cell. The calculation puts the formation enthalpy at 0 K at 148.7 meV/atom.

```
In2CuPb
1.0
4.601 -0.039 0.012
3.242 3.266 0.012
1.483 0.610 6.717
Cu In Pb
1 2 1
Cartesian
7.043 2.898 5.296
1.544 0.635 6.325
2.305 0.948 1.471
4.580 1.884 3.737
```

Here is In2CuPb after structural relaxation from Alexandria. Energies are from GGA-PBE.

Properties
The magnetic moment comes out at 0.000 Bohr magnetons per cell. The calculation puts the formation enthalpy at 0 K at 224.7 meV/atom.

```
In2CuPb
1.0
5.473 -0.222 0.000
1.609 5.236 0.000
-3.541 -2.507 3.344
Cu In Pb
1 2 1
Cartesian
2.737 -0.111 1.672
0.000 0.000 0.000
0.804 2.618 1.672
3.541 2.507 0.000
```

Here is InCuPb after structural relaxation from Alexandria. Energies are from GGA-PBE.

Properties
The magnetic moment comes out at 0.000 Bohr magnetons per cell. The calculation puts the formation enthalpy at 0 K at 71.0 meV/atom.

```
InCuPb
1.0
4.166 0.089 -0.019
-0.148 6.940 0.355
0.011 0.547 5.016
Pb Cu In
2 2 2
Cartesian
2.852 3.975 2.332
0.725 6.378 4.570
2.911 1.543 3.968
0.814 1.870 2.578
2.925 0.347 1.540
0.800 3.066 5.006
```

Here is In2Cu2Pb after structural relaxation from Alexandria. Energies are from GGA-PBE.

Properties
The magnetic moment comes out at 0.000 Bohr magnetons per cell. The calculation puts the formation enthalpy at 0 K at 158.9 meV/atom.

```
In2Cu2Pb
1.0
-0.574 -3.755 2.117
2.811 1.294 3.056
-3.225 1.123 5.585
Pb Cu In
1 2 2
Cartesian
0.000 0.000 0.000
0.207 -0.736 3.216
-1.195 -0.601 7.542
-1.340 -1.931 5.145
0.352 0.593 5.614
```

Here is InCuPb after structural relaxation from Alexandria. Energies are from GGA-PBE.

Properties
The magnetic moment comes out at 0.000 Bohr magnetons per cell. The calculation puts the formation enthalpy at 0 K at 125.2 meV/atom.

```
InCuPb
1.0
-0.988 3.910 5.645
-0.285 -3.270 0.961
6.208 -0.185 1.213
Pb Cu In
2 2 2
Cartesian
1.042 -0.680 4.890
4.240 0.968 5.281
0.268 0.430 2.305
2.793 0.355 2.798
1.701 -1.786 1.346
4.674 -1.636 2.659
```